# 1
First-principles (PBE) data for crystalline Na8SnBi2 at its relaxed geometry, as listed in Alexandria via LeMat-Bulk.

- Excess energy over the best structure of this formula in the dataset: 79 meV per atom
- ΔE_f: -198 meV/atom
- V: 33.03 A^3/atom
- Electronic total energy: -48.983 eV per cell

Lattice parameters (Å, degrees): 9.3498 14.4163 5.6228 90.00 106.49 90.00
Space group C2/m (No. 12)
Symmetry-distinct sites (fractional):
Na  0.0000  0.2286  0.0000
Na  0.1365  0.5000  0.8168
Na  0.1853  0.1251  0.5856
Sn  0.0000  0.0000  0.0000
Bi  0.0000  0.3226  0.5000

***

# 2
First-principles (PBE) data for crystalline Na5Sn4Bi2 at its relaxed geometry, as listed in Alexandria via LeMat-Bulk.

- ΔE_f: -139 meV/atom
- V: 29.86 A^3/atom
- Electronic total energy: -63.792 eV per cell

Lattice parameters (Å, degrees): 11.1370 6.7846 9.3362 90.00 111.40 90.00
Space group C2/m (No. 12)
Symmetry-distinct sites (fractional):
Na  0.0000  0.0000  0.0000
Na  0.0915  0.2625  0.3566
Sn  0.1293  0.5000  0.0036
Sn  0.1920  0.5000  0.7244
Bi  0.1623  0.0000  0.6823